Here is an optimized crystal structure of CeGdOs4 from Alexandria via LeMat-Bulk. Energies are from PBE-GGA.

Computed properties:
The space group is F-43m, No. 216. For the formation energy, the calculation gives -1.360 eV per formula unit. As for the crystal system: cubic. For the calculated volume, the calculation gives 110.9 Å³ per cell. The density of states at the Fermi level is 0.7291 states/eV/atom.

Lattice parameters (Å, degrees): 5.3922 5.3922 5.3922 60.00 60.00 60.00
Atoms (fractional coordinates):
Ce 0.0000 0.0000 0.0000
Gd 0.7500 0.7500 0.7500
Os 0.3751 0.3751 0.3751
Os 0.3751 0.3751 0.8748
Os 0.3751 0.8748 0.3751
Os 0.8748 0.3751 0.3751

Here is an optimized crystal structure of FePRh2 from Alexandria via LeMat-Bulk. Energies are from PBE-GGA.

Computed properties:
The space group is C2/m, No. 12. For the formation energy, the calculation gives -0.544 eV per formula unit. As for the crystal system: monoclinic. For the calculated volume, the calculation gives 54.0 Å³ per cell. The density of states at the Fermi level is 0.8655 states/eV/atom.

Lattice parameters (Å, degrees): 4.2018 4.2018 4.8716 100.34 100.34 39.72
Atoms (fractional coordinates):
Fe 0.0000 0.0000 0.0000
P 0.5000 0.5000 0.5000
Rh 0.2421 0.2421 0.7377
Rh 0.7579 0.7579 0.2623

Here is an optimized crystal structure of YTe2Ru from Alexandria via LeMat-Bulk. Energies are from PBE-GGA.

Computed properties:
The distance to the lowest polymorph of the same formula is 117.2 meV/atom. The space group is Immm, No. 71. For the uncorrected formation energy, the calculation gives -398 meV per atom. As for the crystal system: orthorhombic. For the calculated volume, the calculation gives 96.4 Å³ per cell. The density of states at the Fermi level is 0.8119 states/eV/atom.

Lattice parameters (Å, degrees): 5.3608 5.3608 5.3608 133.68 116.10 82.50
Atoms (fractional coordinates):
Y 0.0000 0.0000 0.0000
Te 0.2986 0.7986 0.5000
Te 0.7014 0.2014 0.5000
Ru 0.5000 0.5000 0.0000

Here is an optimized crystal structure of Er4Ga12Re from Alexandria via LeMat-Bulk. Energies are from PBE-GGA.

Computed properties:
The space group is Im-3m, No. 229. For the formation energy, the calculation gives -8.315 eV per formula unit. As for the crystal system: cubic. For the calculated volume, the calculation gives 318.0 Å³ per cell. The density of states at the Fermi level is 0.5400 states/eV/atom.

Lattice parameters (Å, degrees): 7.4480 7.4480 7.4480 109.47 109.47 109.47
Atoms (fractional coordinates):
Er 0.0000 0.0000 0.5000
Er 0.0000 0.5000 0.0000
Er 0.5000 0.0000 0.0000
Er 0.5000 0.5000 0.5000
Ga 0.0000 0.2925 0.2925
Ga 0.0000 0.7075 0.7075
Ga 0.2500 0.5000 0.7500
Ga 0.2500 0.7500 0.5000
Ga 0.2925 0.0000 0.2925
Ga 0.2925 0.2925 0.0000
Ga 0.5000 0.2500 0.7500
Ga 0.5000 0.7500 0.2500
Ga 0.7075 0.0000 0.7075
Ga 0.7075 0.7075 0.0000
Ga 0.7500 0.2500 0.5000
Ga 0.7500 0.5000 0.2500
Re 0.0000 0.0000 0.0000

Here is an optimized crystal structure of BaLiW4 from Alexandria via LeMat-Bulk. Energies are from PBE-GGA.

Computed properties:
The space group is F-43m, No. 216. For the formation energy, the calculation gives 6.354 eV per formula unit. As for the crystal system: cubic. For the calculated volume, the calculation gives 121.7 Å³ per cell. The density of states at the Fermi level is 1.0722 states/eV/atom.

Lattice parameters (Å, degrees): 5.5631 5.5631 5.5631 60.00 60.00 60.00
Atoms (fractional coordinates):
Ba 0.0000 0.0000 0.0000
Li 0.7500 0.7500 0.7500
W 0.3755 0.3755 0.3755
W 0.3755 0.3755 0.8736
W 0.3755 0.8736 0.3755
W 0.8736 0.3755 0.3755

Here is an optimized crystal structure of Nb2ZnAgI from Alexandria via LeMat-Bulk. Energies are from PBE-GGA.

Computed properties:
The space group is P4/mmm, No. 123. For the uncorrected formation energy, the calculation gives 1609 meV per atom. As for the crystal system: tetragonal. For the calculated volume, the calculation gives 131.4 Å³ per cell. The density of states at the Fermi level is 0.7368 states/eV/atom.

Lattice parameters (Å, degrees): 5.0650 5.0650 5.1222 90.00 90.00 90.00
Atoms (fractional coordinates):
Nb 0.0000 0.5000 0.0000
Nb 0.5000 0.0000 0.0000
Zn 0.0000 0.0000 0.5000
Ag 0.5000 0.5000 0.5000
I 0.5000 0.5000 0.0000

Here is an optimized crystal structure of Zn3NiIr from Alexandria via LeMat-Bulk. Energies are from PBE-GGA.

Computed properties:
The distance to the lowest polymorph of the same formula is 898.4 meV/atom. The space group is Pm-3m, No. 221. For the formation energy, the calculation gives 3.592 eV per formula unit. As for the crystal system: cubic. For the calculated volume, the calculation gives 106.0 Å³ per cell. The density of states at the Fermi level is 1.1422 states/eV/atom.

Lattice parameters (Å, degrees): 4.7328 4.7328 4.7328 90.00 90.00 90.00
Atoms (fractional coordinates):
Zn 0.0000 0.0000 0.5000
Zn 0.0000 0.5000 0.0000
Zn 0.5000 0.0000 0.0000
Ni 0.5000 0.5000 0.5000
Ir 0.0000 0.0000 0.0000

Here is an optimized crystal structure of CsTaBe from Alexandria via LeMat-Bulk. Energies are from PBE-GGA.

Computed properties:
The distance to the lowest polymorph of the same formula is 155.2 meV/atom. The space group is P-1, No. 2. For the formation energy, the calculation gives 1.885 eV per formula unit. As for the crystal system: triclinic. For the calculated volume, the calculation gives 213.9 Å³ per cell. The density of states at the Fermi level is 0.3913 states/eV/atom.

Lattice parameters (Å, degrees): 4.4111 4.4119 12.8283 83.74 81.86 60.03
Atoms (fractional coordinates):
Cs 0.2333 0.2926 0.2958
Cs 0.7667 0.7074 0.7042
Ta 0.3337 0.3334 0.9986
Ta 0.6663 0.6666 0.0014
Be 0.0279 0.0114 0.9191
Be 0.9721 0.9886 0.0809

Here is an optimized crystal structure of Pm6Pr2Al from Alexandria via LeMat-Bulk. Energies are from PBE-GGA.

Computed properties:
The space group is C2/m, No. 12. For the formation energy, the calculation gives 0.677 eV per formula unit. As for the crystal system: monoclinic. For the calculated volume, the calculation gives 305.9 Å³ per cell. The density of states at the Fermi level is 1.5271 states/eV/atom.

Lattice parameters (Å, degrees): 10.0564 10.0564 3.5964 90.86 90.86 57.27
Atoms (fractional coordinates):
Pm 0.1676 0.5066 0.5052
Pm 0.2210 0.7790 0.0000
Pm 0.4934 0.8324 0.4948
Pm 0.5066 0.1676 0.5052
Pm 0.7790 0.2210 0.0000
Pm 0.8324 0.4934 0.4948
Pr 0.1738 0.1738 0.9879
Pr 0.8262 0.8262 0.0121
Al 0.5000 0.5000 0.5000

Here is an optimized crystal structure of DyHoPuAl from Alexandria via LeMat-Bulk. Energies are from PBE-GGA.

Computed properties:
The space group is F-43m, No. 216. For the formation energy, the calculation gives 0.112 eV per formula unit. As for the crystal system: cubic. For the calculated volume, the calculation gives 104.8 Å³ per cell. The density of states at the Fermi level is 1.9800 states/eV/atom.

Lattice parameters (Å, degrees): 5.2922 5.2922 5.2922 60.00 60.00 60.00
Atoms (fractional coordinates):
Dy 0.0000 0.0000 0.0000
Ho 0.7500 0.7500 0.7500
Pu 0.5000 0.5000 0.5000
Al 0.2500 0.2500 0.2500

Here is an optimized crystal structure of ZnGeSe2 from Alexandria via LeMat-Bulk. Energies are from PBE-GGA.

Computed properties:
The space group is I-42d, No. 122. For the uncorrected formation energy, the calculation gives -284 meV per atom. As for the crystal system: tetragonal. For the calculated volume, the calculation gives 221.3 Å³ per cell. The density of states at the Fermi level is 0.0000 states/eV/atom.

Lattice parameters (Å, degrees): 7.3101 7.3101 7.3101 130.40 130.40 72.77
Atoms (fractional coordinates):
Zn 0.0000 0.0000 0.0000
Zn 0.7500 0.2500 0.5000
Ge 0.2500 0.7500 0.5000
Ge 0.5000 0.5000 0.0000
Se 0.0897 0.6250 0.9647
Se 0.3750 0.3397 0.4647
Se 0.6603 0.1250 0.0353
Se 0.8750 0.9103 0.5353

Here is an optimized crystal structure of Zr5Ti7O24 from Alexandria via LeMat-Bulk. Energies are from PBE-GGA.

Computed properties:
The distance to the lowest polymorph of the same formula is 0.0 meV/atom. The space group is Pc, No. 7. For the uncorrected formation energy, the calculation gives -3136 meV per atom. As for the crystal system: monoclinic. For the calculated volume, the calculation gives 799.2 Å³ per cell. The density of states at the Fermi level is 0.0000 states/eV/atom.

Lattice parameters (Å, degrees): 5.4332 14.5194 11.4508 90.00 117.78 90.00
Atoms (fractional coordinates):
Zr 0.0000 0.0768 0.0000
Zr 0.0000 0.9232 0.5000
Zr 0.1550 0.2579 0.2187
Zr 0.1550 0.7421 0.7187
Zr 0.4497 0.2586 0.9721
Zr 0.4497 0.7414 0.4721
Zr 0.6503 0.2505 0.7129
Zr 0.6503 0.7495 0.2129
Zr 0.9331 0.2522 0.4639
Zr 0.9331 0.7478 0.9639
Ti 0.0708 0.4176 0.6821
Ti 0.0708 0.5824 0.1821
Ti 0.1419 0.0849 0.7465
Ti 0.1419 0.9151 0.2465
Ti 0.4574 0.4204 0.4333
Ti 0.4574 0.5796 0.9333
Ti 0.5118 0.0845 0.4872
Ti 0.5118 0.9155 0.9872
Ti 0.5691 0.4244 0.1836
Ti 0.5691 0.5756 0.6836
Ti 0.6426 0.0846 0.2355
Ti 0.6426 0.9154 0.7355
Ti 0.9531 0.4189 0.9327
Ti 0.9531 0.5811 0.4327
O 0.1054 0.3372 0.8275
O 0.1054 0.6628 0.3275
O 0.1677 0.3352 0.3770
O 0.1677 0.6648 0.8770
O 0.2161 0.3391 0.0762
O 0.2161 0.6609 0.5762
O 0.2379 0.3302 0.6242
O 0.2379 0.6698 0.1242
O 0.2401 0.0073 0.9054
O 0.2401 0.9927 0.4054
O 0.2721 0.0042 0.1675
O 0.2721 0.9958 0.6675
O 0.3403 0.4908 0.2672
O 0.3403 0.5092 0.7672
O 0.3496 0.4905 0.0173
O 0.3496 0.5095 0.5173
O 0.3566 0.1699 0.5566
O 0.3566 0.8301 0.0566
O 0.3783 0.1640 0.0955
O 0.3783 0.8360 0.5955
O 0.4223 0.1711 0.8125
O 0.4223 0.8289 0.3125
O 0.4726 0.1682 0.3468
O 0.4726 0.8318 0.8468
O 0.6019 0.3406 0.3265
O 0.6019 0.6594 0.8265
O 0.6682 0.3326 0.8725
O 0.6682 0.6674 0.3725
O 0.7110 0.3373 0.5765
O 0.7110 0.6627 0.0765
O 0.7275 0.0229 0.3970
O 0.7275 0.9771 0.8970
O 0.7452 0.3403 0.1256
O 0.7452 0.6597 0.6256
O 0.7528 0.0015 0.1418
O 0.7528 0.9985 0.6418
O 0.8417 0.4864 0.7667
O 0.8417 0.5136 0.2667
O 0.8488 0.1834 0.0611
O 0.8488 0.8166 0.5611
O 0.8517 0.4886 0.5165
O 0.8517 0.5114 0.0165
O 0.8812 0.1606 0.5961
O 0.8812 0.8394 0.0961
O 0.9204 0.1751 0.3058
O 0.9204 0.8249 0.8058
O 0.9533 0.1568 0.8369
O 0.9533 0.8432 0.3369